1.
SrMg2Hg: relaxed, GGA-PBEsol.

Results
Total DFT energy (no corrections): -6.79 eV/cell
Volume: 106.53 Å³/cell
ρ: 5.3 Mg/m³
ΔH_f (0 K): -237 meV per atom
N(E_F): 2.64 states/eV per cell

Cell: 3.7015 3.7015 7.7757 Å, 90.00 90.00 90.00°
Closest atoms and distances in Å follow each position.
Fractional positions:
1 Mg 0.5000 0.5000 0.2027  4 Mg 3.14, 1 Hg 3.18
2 Mg 0.0000 0.0000 0.9803  4 Hg 2.99, 4 Mg 3.14
3 Hg 0.5000 0.5000 0.7936  5 Mg 2.99-3.18
4 Sr 0.0000 0.0000 0.5234  4 Hg 3.36, 5 Mg 3.55-3.62, 4 Sr 3.70

---

2.
Cr2Tc: relaxed, GGA-PBEsol.

Results
Total DFT energy (no corrections): -63.17 eV/cell
Volume: 72.87 Å³/cell
ρ: 9.2 Mg/m³
ΔH_f (0 K): 55 meV per atom
N(E_F): 6.20 states/eV per cell
Offset from the most stable computed form: 12.4 meV/atom

Cell: 2.8731 4.7867 5.8873 Å, 108.43 90.00 107.46°
Closest atoms and distances in Å follow each position.
Fractional positions:
1 Cr 0.1647 0.3294 0.5750  6 Cr 2.42-2.49, 2 Tc 2.53
2 Cr 0.5037 0.0074 0.7315  5 Cr 2.42-2.70, 4 Tc 2.55-2.56
3 Cr 0.8353 0.6706 0.4250  6 Cr 2.42-2.49, 2 Tc 2.53
4 Cr 0.4963 0.9926 0.2685  5 Cr 2.42-2.70, 4 Tc 2.55-2.56
5 Tc 0.8387 0.6773 0.9106  6 Cr 2.53-2.56, 3 Tc 2.63-2.78
6 Tc 0.1613 0.3227 0.0894  6 Cr 2.53-2.56, 3 Tc 2.63-2.78

---

3.
BaCuRe: relaxed, GGA-PBEsol.

Results
Total DFT energy (no corrections): -16.02 eV/cell
Volume: 59.54 Å³/cell
ρ: 10.8 Mg/m³
ΔH_f (0 K): 1264 meV per atom
N(E_F): 2.90 states/eV per cell
Offset from the most stable computed form: 367.1 meV/atom

Cell: 2.9957 2.9957 7.6611 Å, 90.00 90.00 120.00°
Closest atoms and distances in Å follow each position.
Fractional positions:
1 Ba 0.0000 0.0000 0.0002  6 Ba 3.00
2 Re 0.3333 0.6667 0.3763  3 Cu 2.56
3 Cu 0.6667 0.3333 0.6235  3 Re 2.56